! RbTa, relaxed, DFT PBE; values from VASP
&SYSTEM
  ibrav = 0, nat = 12, ntyp = 2
/
ATOMIC_SPECIES
Rb 85.47 Rb.upf
Ta 180.95 Ta.upf
CELL_PARAMETERS angstrom
16.170 0.000 0.000
0.000 3.326 0.000
0.000 0.000 9.095
ATOMIC_POSITIONS crystal
Rb 0.000 0.018 0.000
Rb 0.222 0.998 0.669
Rb 0.278 0.002 0.169
Rb 0.500 0.982 0.500
Rb 0.722 0.002 0.169
Rb 0.778 0.998 0.669
Ta 0.000 0.009 0.560
Ta 0.078 0.509 0.374
Ta 0.422 0.491 0.874
Ta 0.500 0.991 0.060
Ta 0.578 0.491 0.874
Ta 0.922 0.509 0.374
! - Energy above the lowest structure with this stoichiometry: 279 meV per atom
! - Energy of formation from the pure elements: 1.07 eV per atom
! - Space group: Pmn2_1
! - Total moment: 0.0 μB/f.u.
! - Mass density: 5.4 g cm⁻³
! - Uncorrected energy: -5.340 eV per atom

! MgTePtC2, relaxed, DFT PBE; values from VASP
&SYSTEM
  ibrav = 0, nat = 5, ntyp = 4
/
ATOMIC_SPECIES
Mg 24.30 Mg.upf
Te 127.60 Te.upf
Pt 195.08 Pt.upf
C 12.01 C.upf
CELL_PARAMETERS angstrom
3.948 0.000 0.000
0.000 3.948 0.000
0.000 0.000 6.153
ATOMIC_POSITIONS crystal
Mg 0.000 0.000 0.000
Te 0.500 0.500 0.000
Pt 0.000 0.000 0.500
C 0.000 0.500 0.500
C 0.500 0.000 0.500
! - Space group: P4/mmm
! - Total moment: 0.8 μB/f.u.
! - Raw formation energy: 1136 meV per atom
! - Mass density: 6.4 g cm⁻³
! - Uncorrected energy: -4.709 eV per atom

! Cd2PbAu, relaxed, DFT PBE; values from VASP
&SYSTEM
  ibrav = 0, nat = 8, ntyp = 3
/
ATOMIC_SPECIES
Cd 112.41 Cd.upf
Pb 207.20 Pb.upf
Au 196.97 Au.upf
CELL_PARAMETERS angstrom
3.237 0.000 0.000
0.000 4.684 0.000
0.000 0.000 13.298
ATOMIC_POSITIONS crystal
Cd 0.000 0.000 0.000
Cd 0.000 0.500 0.174
Cd 0.500 0.000 0.674
Cd 0.500 0.500 0.500
Pb 0.000 0.500 0.792
Pb 0.500 0.000 0.292
Au 0.000 0.000 0.491
Au 0.500 0.500 0.991
! - Energy of formation from the pure elements: -0.05 eV per atom
! - Space group: Imm2
! - Total moment: 0.0 μB/f.u.
! - Mass density: 10.4 g cm⁻³
! - Uncorrected energy: -2.249 eV per atom

What is the uncorrected energy in the first record? -5.340 eV per atom

What did the third record say?
! Cd2PbAu, relaxed, DFT PBE; values from VASP
&SYSTEM
  ibrav = 0, nat = 8, ntyp = 3
/
ATOMIC_SPECIES
Cd 112.41 Cd.upf
Pb 207.20 Pb.upf
Au 196.97 Au.upf
CELL_PARAMETERS angstrom
3.237 0.000 0.000
0.000 4.684 0.000
0.000 0.000 13.298
ATOMIC_POSITIONS crystal
Cd 0.000 0.000 0.000
Cd 0.000 0.500 0.174
Cd 0.500 0.000 0.674
Cd 0.500 0.500 0.500
Pb 0.000 0.500 0.792
Pb 0.500 0.000 0.292
Au 0.000 0.000 0.491
Au 0.500 0.500 0.991
! - Energy of formation from the pure elements: -0.05 eV per atom
! - Space group: Imm2
! - Total moment: 0.0 μB/f.u.
! - Mass density: 10.4 g cm⁻³
! - Uncorrected energy: -2.249 eV per atom

mass density of number 1 (RbTa)? 5.4 g cm⁻³

What did the third record say?
! Cd2PbAu, relaxed, DFT PBE; values from VASP
&SYSTEM
  ibrav = 0, nat = 8, ntyp = 3
/
ATOMIC_SPECIES
Cd 112.41 Cd.upf
Pb 207.20 Pb.upf
Au 196.97 Au.upf
CELL_PARAMETERS angstrom
3.237 0.000 0.000
0.000 4.684 0.000
0.000 0.000 13.298
ATOMIC_POSITIONS crystal
Cd 0.000 0.000 0.000
Cd 0.000 0.500 0.174
Cd 0.500 0.000 0.674
Cd 0.500 0.500 0.500
Pb 0.000 0.500 0.792
Pb 0.500 0.000 0.292
Au 0.000 0.000 0.491
Au 0.500 0.500 0.991
! - Energy of formation from the pure elements: -0.05 eV per atom
! - Space group: Imm2
! - Total moment: 0.0 μB/f.u.
! - Mass density: 10.4 g cm⁻³
! - Uncorrected energy: -2.249 eV per atom